DyAl3CuPd, optimized geometry, DFT PBE; total moment = 0.000 μB per atom; D(E_F) = 4.0 states/eV/cell; DFT formation energy = -417 meV per atom
1.0
3.069 -6.175 0.000
3.069 6.175 0.000
0.000 0.000 5.730
Dy Al Cu Pd
2 6 2 2
direct
0.214 0.786 0.750
0.786 0.214 0.250
0.212 0.212 0.000
0.212 0.212 0.500
0.357 0.643 0.250
0.643 0.357 0.750
0.788 0.788 0.000
0.788 0.788 0.500
0.429 0.571 0.750
0.571 0.429 0.250
0.147 0.853 0.250
0.853 0.147 0.750